# K2BaCrO | Alexandria | PBE+U | relaxed
# - DFT total energy (eV per cell) = -13.60
data_K2BaCrO
_symmetry_space_group_name_H-M 'P 4/m m m'
_symmetry_Int_Tables_number 123
_symmetry_space_group_name_Hall '-P 4 2'
_cell_length_a 5.9558
_cell_length_b 5.9558
_cell_length_c 6.7674
_cell_angle_alpha 90.00
_cell_angle_beta 90.00
_cell_angle_gamma 90.00
loop_
_atom_site_label
_atom_site_type_symbol
_atom_site_fract_x
_atom_site_fract_y
_atom_site_fract_z
_atom_site_occupancy
K1 K 0.0000 0.5000 0.0000 1
Ba1 Ba 0.0000 0.0000 0.5000 1
Cr1 Cr 0.0000 0.0000 0.0000 1
O1 O 0.5000 0.5000 0.5000 1